No. 1
Crystalline KHfZrC at its relaxed geometry. Source: the Open Quantum Materials Database, functional PBE.

Computed properties:
space group	P-6m2, No. 187
calculated density	5.77	g/cm3
calculated total energy	-7.32	eV/atom
magnetic moment	0.087	μB/f.u.

Cell lengths 3.3576, 3.3576, 18.9248 Å; angles 90.00, 90.00, 120.00 degrees
Last column: nearest neighbours and their distance in Å.
Atoms (fractional coordinates):
K1 0.0000 0.0000 0.0000  6 K 3.36
K2 0.3333 0.6667 0.5000  6 K 3.36
Hf1 0.0000 0.0000 0.3153  3 C 2.27
Hf2 0.0000 0.0000 0.6847  3 C 2.27
Zr1 0.3333 0.6667 0.1860  3 C 2.32
Zr2 0.3333 0.6667 0.8140  3 C 2.32
C1 0.6667 0.3333 0.2531  3 Hf 2.27, 3 Zr 2.32
C2 0.6667 0.3333 0.7469  3 Hf 2.27, 3 Zr 2.32



No. 2
Crystalline KHfZrC at its relaxed geometry. Source: the Open Quantum Materials Database, functional PBE.

Computed properties:
space group	P-3m1, No. 164
calculated density	5.76	g/cm3
calculated total energy	-7.31	eV/atom
magnetic moment	0.395	μB/f.u.

Cell lengths 3.3580, 3.3580, 18.9467 Å; angles 90.00, 90.00, 120.00 degrees
Last column: nearest neighbours and their distance in Å.
Atoms (fractional coordinates):
K1 0.3333 0.6667 0.2513  6 K 3.36
K2 0.6667 0.3333 0.7487  6 K 3.36
Hf1 0.3333 0.6667 0.5639  3 C 2.29
Hf2 0.6667 0.3333 0.4361  3 C 2.29
Zr1 0.3333 0.6667 0.9347  3 C 2.30
Zr2 0.6667 0.3333 0.0653  3 C 2.30
C1 0.0000 0.0000 0.0000  6 Zr 2.30
C2 0.0000 0.0000 0.5000  6 Hf 2.29



No. 3
Crystalline Lu2Hf4P3C3 at its relaxed geometry. Source: the Open Quantum Materials Database, functional PBE.

Computed properties:
space group	C2/c, No. 15
calculated density	10.28	g/cm3
calculated total energy	-8.75	eV/atom
magnetic moment	0.004	μB/f.u.

Cell lengths 6.0439, 6.0439, 12.6623 Å; angles 103.80, 103.80, 60.08 degrees
Last column: nearest neighbours and their distance in Å.
Atoms (fractional coordinates):
Lu1 0.0366 0.8726 0.6091  3 C 2.43-2.49, 3 P 2.70-2.71
Lu2 0.1274 0.9634 0.8909  3 C 2.43-2.49, 3 P 2.70-2.71
Lu3 0.8726 0.0366 0.1091  3 C 2.43-2.49, 3 P 2.70-2.71
Lu4 0.9634 0.1274 0.3909  3 C 2.43-2.49, 3 P 2.70-2.71
Hf1 0.2023 0.3656 0.1033  3 C 2.31-2.38
Hf2 0.2971 0.4670 0.3967  3 C 2.31-2.38
Hf3 0.3656 0.2023 0.6033  3 C 2.31-2.38
Hf4 0.4670 0.2971 0.8967  3 C 2.31-2.38
Hf5 0.5330 0.7029 0.1033  3 C 2.31-2.38
Hf6 0.6344 0.7977 0.3967  3 C 2.31-2.38
Hf7 0.7029 0.5330 0.6033  3 C 2.31-2.38
Hf8 0.7977 0.6344 0.8967  3 C 2.31-2.38
P1 0.0829 0.2645 0.7506  4 Hf 2.66, 2 Lu 2.70-2.71
P2 0.2645 0.0829 0.2506  4 Hf 2.66, 2 Lu 2.70-2.71
P3 0.4292 0.5708 0.7500  4 Hf 2.66-2.67, 2 Lu 2.71
P4 0.5708 0.4292 0.2500  4 Hf 2.66-2.67, 2 Lu 2.71
P5 0.7355 0.9171 0.7494  4 Hf 2.66, 2 Lu 2.70-2.71
P6 0.9171 0.7355 0.2494  4 Hf 2.66, 2 Lu 2.70-2.71
C1 0.0000 0.5000 0.5000  4 Hf 2.37, 2 Lu 2.43
C2 0.1766 0.6466 0.0000  4 Hf 2.31-2.38, 2 Lu 2.48-2.49
C3 0.3534 0.8234 0.5000  4 Hf 2.31-2.38, 2 Lu 2.48-2.49
C4 0.5000 0.0000 0.0000  4 Hf 2.37, 2 Lu 2.43
C5 0.6466 0.1766 0.5000  4 Hf 2.31-2.38, 2 Lu 2.48-2.49
C6 0.8234 0.3534 0.0000  4 Hf 2.31-2.38, 2 Lu 2.48-2.49



No. 4
Crystalline Lu3HfPb2C2 at its relaxed geometry. Source: the Open Quantum Materials Database, functional PBE.

Computed properties:
space group	P3m1, No. 156
calculated density	11.60	g/cm3
calculated total energy	-6.75	eV/atom
magnetic moment	0.008	μB/f.u.

Cell lengths 3.4973, 3.4973, 15.4347 Å; angles 90.00, 90.00, 120.00 degrees
Last column: nearest neighbours and their distance in Å.
Atoms (fractional coordinates):
Lu1 0.0000 0.0000 0.0000  3 C 2.40
Lu2 0.0000 0.0000 0.3378  3 C 2.44
Lu3 0.6667 0.3333 0.8335  3 C 2.39
Hf1 0.6667 0.3333 0.4984  3 C 2.30
Pb1 0.0000 0.0000 0.6602  3 Hf 3.21, 3 Lu 3.35, 6 Pb 3.50
Pb2 0.6667 0.3333 0.1698  6 Lu 3.29-3.31, 6 Pb 3.50
C1 0.3333 0.6667 0.4264  3 Hf 2.30, 3 Lu 2.44
C2 0.3333 0.6667 0.9162  6 Lu 2.39-2.40



No. 5
Crystalline Lu3HfC2S2 at its relaxed geometry. Source: the Open Quantum Materials Database, functional PBE.

Computed properties:
space group	P3m1, No. 156
calculated density	9.76	g/cm3
calculated total energy	-7.60	eV/atom
magnetic moment	0.001	μB/f.u.

Cell lengths 3.5378, 3.5378, 12.4239 Å; angles 90.00, 90.00, 120.00 degrees
Last column: nearest neighbours and their distance in Å.
Atoms (fractional coordinates):
Lu1 0.0000 0.0000 0.0000  3 C 2.47, 3 S 2.73
Lu2 0.0000 0.0000 0.2960  3 C 2.43
Lu3 0.6667 0.3333 0.5038  3 C 2.40
Hf1 0.6667 0.3333 0.7982  3 C 2.33
C1 0.3333 0.6667 0.4017  6 Lu 2.40-2.43
C2 0.3333 0.6667 0.8888  3 Hf 2.33, 3 Lu 2.47
S1 0.0000 0.0000 0.6591  3 Hf 2.68, 3 Lu 2.81
S2 0.6667 0.3333 0.1462  6 Lu 2.73-2.76



No. 6
Crystalline Lu3HfC2Se2 at its relaxed geometry. Source: the Open Quantum Materials Database, functional PBE.

Computed properties:
space group	P3m1, No. 156
calculated density	10.26	g/cm3
calculated total energy	-7.29	eV/atom
magnetic moment	0.007	μB/f.u.

Cell lengths 3.5908, 3.5908, 12.8284 Å; angles 90.00, 90.00, 120.00 degrees
Last column: nearest neighbours and their distance in Å.
Atoms (fractional coordinates):
Lu1 0.0000 0.0000 0.0000  3 C 2.49
Lu2 0.0000 0.0000 0.3042  3 C 2.45
Lu3 0.3333 0.6667 0.5036  3 C 2.42
Hf1 0.3333 0.6667 0.8069  3 C 2.35
C1 0.6667 0.3333 0.4061  6 Lu 2.42-2.45
C2 0.6667 0.3333 0.8928  3 Hf 2.35, 3 Lu 2.49
Se1 0.0000 0.0000 0.6627  3 Hf 2.78, 3 Lu 2.91
Se2 0.3333 0.6667 0.1504  6 Lu 2.83-2.86



No. 7
Crystalline Lu2Hf4Si3C3 at its relaxed geometry. Source: the Open Quantum Materials Database, functional PBE.

Computed properties:
space group	C2/c, No. 15
calculated density	9.99	g/cm3
calculated total energy	-8.45	eV/atom
magnetic moment	0.010	μB/f.u.

Cell lengths 5.7734, 5.7734, 14.0516 Å; angles 101.94, 101.94, 60.00 degrees
Last column: nearest neighbours and their distance in Å.
Atoms (fractional coordinates):
Lu1 0.0364 0.8721 0.6073  3 C 2.43-2.44
Lu2 0.1279 0.9636 0.8927  3 C 2.43-2.44
Lu3 0.8721 0.0364 0.1073  3 C 2.43-2.44
Lu4 0.9636 0.1279 0.3927  3 C 2.43-2.44
Hf1 0.1957 0.3585 0.0887  3 C 2.26-2.27
Hf2 0.2991 0.4751 0.4114  3 C 2.26-2.27
Hf3 0.3585 0.1957 0.5886  3 C 2.26-2.27
Hf4 0.4751 0.2991 0.9114  3 C 2.26-2.27
Hf5 0.5249 0.7009 0.0886  3 C 2.26-2.27
Hf6 0.6415 0.8043 0.4114  3 C 2.26-2.27
Hf7 0.7009 0.5249 0.5886  3 C 2.26-2.27
Hf8 0.8043 0.6415 0.9114  3 C 2.26-2.27
Si1 0.0830 0.3332 0.7510  4 Hf 2.80-2.81, 4 Si 2.99-3.01, 2 Lu 3.08-3.09
Si2 0.3332 0.0830 0.2510  4 Hf 2.80-2.81, 4 Si 2.99-3.01, 2 Lu 3.08-3.09
Si3 0.4972 0.5028 0.2500  4 Hf 2.81, 4 Si 2.99-3.01, 2 Lu 3.11
Si4 0.5028 0.4972 0.7500  4 Hf 2.81, 4 Si 2.99-3.01, 2 Lu 3.11
Si5 0.6668 0.9170 0.7490  4 Hf 2.80-2.81, 4 Si 2.99-3.01, 2 Lu 3.08-3.09
Si6 0.9170 0.6668 0.2490  4 Hf 2.80-2.81, 4 Si 2.99-3.01, 2 Lu 3.08-3.09
C1 0.0000 0.5000 0.5000  4 Hf 2.26, 2 Lu 2.43
C2 0.1706 0.6588 0.0000  4 Hf 2.26-2.27, 2 Lu 2.44
C3 0.3412 0.8294 0.5000  4 Hf 2.26-2.27, 2 Lu 2.44
C4 0.5000 0.0000 0.0000  4 Hf 2.26, 2 Lu 2.43
C5 0.6588 0.1706 0.5000  4 Hf 2.26-2.27, 2 Lu 2.44
C6 0.8294 0.3412 0.0000  4 Hf 2.26-2.27, 2 Lu 2.44



No. 8
Crystalline LuHfSnC at its relaxed geometry. Source: the Open Quantum Materials Database, functional PBE.

Computed properties:
space group	P-6m2, No. 187
calculated density	10.65	g/cm3
calculated total energy	-7.63	eV/atom
magnetic moment	0.005	μB/f.u.

Cell lengths 3.4151, 3.4151, 14.9476 Å; angles 90.00, 90.00, 120.00 degrees
Last column: nearest neighbours and their distance in Å.
Atoms (fractional coordinates):
Lu1 0.0000 0.0000 0.1709  3 C 2.41
Lu2 0.0000 0.0000 0.8291  3 C 2.41
Hf1 0.6667 0.3333 0.3396  3 C 2.28
Hf2 0.6667 0.3333 0.6604  3 C 2.28
Sn1 0.0000 0.0000 0.5000  6 Hf 3.10, 6 Sn 3.42
Sn2 0.6667 0.3333 0.0000  6 Lu 3.23, 6 Sn 3.42
C1 0.3333 0.6667 0.2633  3 Hf 2.28, 3 Lu 2.41
C2 0.3333 0.6667 0.7367  3 Hf 2.28, 3 Lu 2.41



No. 9
Crystalline LuHfSnC at its relaxed geometry. Source: the Open Quantum Materials Database, functional PBE.

Computed properties:
space group	P-3m1, No. 164
calculated density	10.57	g/cm3
calculated total energy	-7.61	eV/atom
magnetic moment	0.003	μB/f.u.

Cell lengths 3.4279, 3.4279, 14.9527 Å; angles 90.00, 90.00, 120.00 degrees
Last column: nearest neighbours and their distance in Å.
Atoms (fractional coordinates):
Lu1 0.3333 0.6667 0.4133  3 C 2.37
Lu2 0.6667 0.3333 0.5867  3 C 2.37
Hf1 0.3333 0.6667 0.0803  3 C 2.31
Hf2 0.6667 0.3333 0.9197  3 C 2.31
Sn1 0.3333 0.6667 0.7601  3 Hf 3.10, 3 Lu 3.26, 6 Sn 3.43
Sn2 0.6667 0.3333 0.2399  3 Hf 3.10, 3 Lu 3.26, 6 Sn 3.43
C1 0.0000 0.0000 0.0000  6 Hf 2.31
C2 0.0000 0.0000 0.5000  6 Lu 2.37



No. 10
Crystalline LuHfSnC at its relaxed geometry. Source: the Open Quantum Materials Database, functional PBE.

Computed properties:
space group	P6_3mc, No. 186
calculated density	10.64	g/cm3
calculated total energy	-7.64	eV/atom
magnetic moment	0.005	μB/f.u.

Cell lengths 3.4170, 3.4170, 14.9402 Å; angles 90.00, 90.00, 120.00 degrees
Last column: nearest neighbours and their distance in Å.
Atoms (fractional coordinates):
Lu1 0.3333 0.6667 0.0000  3 C 2.41
Lu2 0.6667 0.3333 0.5000  3 C 2.41
Hf1 0.3333 0.6667 0.6688  3 C 2.28
Hf2 0.6667 0.3333 0.1688  3 C 2.28
Sn1 0.3333 0.6667 0.3294  3 Hf 3.11, 3 Lu 3.22, 6 Sn 3.42
Sn2 0.6667 0.3333 0.8294  3 Hf 3.11, 3 Lu 3.22, 6 Sn 3.42
C1 0.0000 0.0000 0.0923  3 Hf 2.28, 3 Lu 2.41
C2 0.0000 0.0000 0.5923  3 Hf 2.28, 3 Lu 2.41



No. 11
Crystalline LuHf3Sn2C2 at its relaxed geometry. Source: the Open Quantum Materials Database, functional PBE.

Computed properties:
space group	P3m1, No. 156
calculated density	11.09	g/cm3
calculated total energy	-8.34	eV/atom
magnetic moment	0.001	μB/f.u.

Cell lengths 3.3779, 3.3779, 14.7253 Å; angles 90.00, 90.00, 120.00 degrees
Last column: nearest neighbours and their distance in Å.
Atoms (fractional coordinates):
Lu1 0.0000 0.0000 0.0000  3 C 2.39
Hf1 0.0000 0.0000 0.6628  3 C 2.29
Hf2 0.6667 0.3333 0.1718  3 C 2.27
Hf3 0.6667 0.3333 0.4990  3 C 2.29
Sn1 0.0000 0.0000 0.3355  6 Hf 3.10, 6 Sn 3.38
Sn2 0.6667 0.3333 0.8264  3 Hf 3.10, 3 Lu 3.22, 6 Sn 3.38
C1 0.3333 0.6667 0.0933  3 Hf 2.27, 3 Lu 2.39
C2 0.3333 0.6667 0.5810  6 Hf 2.29



No. 12
Crystalline Lu2Hf4Sn3C3 at its relaxed geometry. Source: the Open Quantum Materials Database, functional PBE.

Computed properties:
space group	C2/c, No. 15
calculated density	10.94	g/cm3
calculated total energy	-8.12	eV/atom
magnetic moment	0.001	μB/f.u.

Cell lengths 5.8874, 5.8874, 15.1142 Å; angles 101.32, 101.32, 60.02 degrees
Last column: nearest neighbours and their distance in Å.
Atoms (fractional coordinates):
Lu1 0.0308 0.8687 0.5907  3 C 2.40-2.41
Lu2 0.1313 0.9692 0.9093  3 C 2.40-2.41
Lu3 0.8687 0.0308 0.0907  3 C 2.40-2.41
Lu4 0.9692 0.1313 0.4093  3 C 2.40-2.41
Hf1 0.1940 0.3554 0.0807  3 C 2.27-2.28
Hf2 0.3013 0.4777 0.4193  3 C 2.27-2.28
Hf3 0.3554 0.1940 0.5807  3 C 2.27-2.28
Hf4 0.4777 0.3013 0.9193  3 C 2.27-2.28
Hf5 0.5223 0.6987 0.0807  3 C 2.27-2.28
Hf6 0.6446 0.8060 0.4193  3 C 2.27-2.28
Hf7 0.6987 0.5223 0.5807  3 C 2.27-2.28
Hf8 0.8060 0.6446 0.9193  3 C 2.27-2.28
Sn1 0.0836 0.2744 0.7513  4 Hf 3.12-3.13, 2 Lu 3.14-3.15, 4 Sn 3.28-3.29
Sn2 0.2744 0.0836 0.2513  4 Hf 3.12-3.13, 2 Lu 3.14-3.15, 4 Sn 3.28-3.29
Sn3 0.4401 0.5599 0.7500  4 Hf 3.14, 2 Lu 3.16, 4 Sn 3.28-3.29
Sn4 0.5599 0.4401 0.2500  4 Hf 3.14, 2 Lu 3.16, 4 Sn 3.28-3.29
Sn5 0.7256 0.9164 0.7487  4 Hf 3.12-3.13, 2 Lu 3.14-3.15, 4 Sn 3.28-3.29
Sn6 0.9164 0.7256 0.2487  4 Hf 3.12-3.13, 2 Lu 3.14-3.15, 4 Sn 3.28-3.29
C1 0.0000 0.5000 0.5000  4 Hf 2.28, 2 Lu 2.40
C2 0.1732 0.6536 0.0000  4 Hf 2.27-2.28, 2 Lu 2.41
C3 0.3464 0.8268 0.5000  4 Hf 2.27-2.28, 2 Lu 2.41
C4 0.5000 0.0000 0.0000  4 Hf 2.28, 2 Lu 2.40
C5 0.6536 0.1732 0.5000  4 Hf 2.27-2.28, 2 Lu 2.41
C6 0.8268 0.3464 0.0000  4 Hf 2.27-2.28, 2 Lu 2.41



Question: Among the records above, which one has the highest magnetic moment?
Answer: number 2